[1]
Sm4AlTe | PBE-GGA | optimized geometry

Properties
Formation energy (no corrections)   -435 meV per atom
SG   Cmcm

Structure (POSCAR):
```
Sm4AlTe
1.0
-0.6425 -4.7612 -2.7810
1.1648 -3.3003 5.3812
-10.4263 2.4479 3.7582
Sm Al Te
8 2 2
Direct
0.5698 0.3225 0.1395
0.4302 0.8225 0.8605
0.2861 0.0665 0.5723
0.7139 0.5665 0.4277
0.1319 0.8220 0.2637
0.2862 0.5776 0.5724
0.8681 0.3220 0.7363
0.7138 0.0776 0.4276
0.8444 0.8222 0.6887
0.1556 0.3222 0.3113
0.5716 0.8225 0.1431
0.4284 0.3225 0.8569
```

[2]
Sm2Al2Te7 | PBE-GGA | optimized geometry

Properties
Formation energy (no corrections)   -694 meV per atom
SG   C2/m

Structure (POSCAR):
```
Sm2Al2Te7
1.0
-3.6013 2.8009 -5.8959
-5.6965 0.3071 5.6259
5.4757 5.6891 1.3585
Te Al Sm
7 2 2
Direct
0.7623 0.3403 0.3403
0.7552 0.8905 0.5402
0.7552 0.5402 0.8905
0.5000 0.0000 0.0000
0.2448 0.4598 0.1095
0.2377 0.6597 0.6597
0.2448 0.1095 0.4598
0.3835 0.2494 0.2494
0.6165 0.7506 0.7506
0.0000 0.6999 0.3001
0.0000 0.3001 0.6999
```

[3]
Sm6AlTe5 | PBE-GGA | optimized geometry

Properties
Formation energy (no corrections)   -1241 meV per atom
SG   C2/m

Structure (POSCAR):
```
Sm6AlTe5
1.0
7.6082 0.1717 1.1483
1.8743 6.4587 3.7657
0.1328 0.0809 7.6832
Te Sm Al
5 6 1
Direct
0.5000 0.8271 0.3457
0.5000 0.1729 0.6543
0.0000 0.3348 0.3304
0.5000 0.5000 0.0000
0.0000 0.6652 0.6696
0.7623 0.0785 0.3161
0.2412 0.2340 0.0000
0.2377 0.9215 0.6839
0.2377 0.6054 0.3161
0.7623 0.3946 0.6839
0.7588 0.7660 0.0000
0.0000 0.0000 0.0000
```

[4]
Sm7ThAl4 | PBE-GGA | optimized geometry

Properties
SG   C2/m
Formation energy from the elements   -23 meV/atom

Structure (POSCAR):
```
Sm7ThAl4
1.0
-5.3968 0.0382 1.8817
-3.3477 -8.5417 -0.7472
-0.5342 -2.2705 7.1944
Al Sm Th
4 7 1
Direct
0.5501 0.2451 0.6547
0.6774 0.6666 0.9786
0.4499 0.7549 0.3453
0.3226 0.3334 0.0214
0.2076 0.1172 0.4677
0.5000 0.0000 0.0000
0.7075 0.3490 0.2359
0.9349 0.3873 0.7428
0.0651 0.6127 0.2572
0.2925 0.6510 0.7641
0.7924 0.8828 0.5323
0.0000 0.0000 0.0000
```

[5]
Sm3ThAl8 | PBE-GGA | optimized geometry

Properties
SG   R3m
Energy above the most stable polymorph in this dataset   0.0 meV/atom
Formation energy from the elements   -488 meV/atom

Structure (POSCAR):
```
Sm3ThAl8
1.0
-3.8220 3.9241 -1.4282
-4.7099 -1.5070 -2.7554
-7.1465 -0.4569 6.6506
Th Sm Al
1 3 8
Direct
0.8751 0.8751 0.3747
0.0006 0.0006 0.9984
0.3746 0.3746 0.8762
0.4999 0.4999 0.5003
0.6879 0.6879 0.9363
0.1872 0.1872 0.4384
0.4374 0.4374 0.1871
0.9381 0.4374 0.1871
0.4374 0.9381 0.1871
0.4377 0.9371 0.6882
0.9371 0.4377 0.6882
0.9371 0.9371 0.6882
```

[6]
SmTh3Al8 | PBE-GGA | optimized geometry

Properties
SG   R3m
Formation energy from the elements   -433 meV/atom

Structure (POSCAR):
```
SmTh3Al8
1.0
-0.5683 4.9188 2.8160
-2.9360 4.2911 -2.3267
-8.9228 -0.0909 4.1191
Al Th Sm
8 3 1
Direct
0.9367 0.4378 0.1877
0.4378 0.9367 0.1877
0.6871 0.6871 0.9386
0.4378 0.4378 0.1877
0.9379 0.9379 0.6871
0.4372 0.9379 0.6871
0.9379 0.4372 0.6871
0.1876 0.1876 0.4371
0.3748 0.3748 0.8755
0.0002 0.0002 0.9994
0.5000 0.5000 0.4999
0.8749 0.8749 0.3752
```

[7]
SmThAl2 | PBE-GGA | optimized geometry

Properties
SG   Pmc2_1
Energy above the most stable polymorph in this dataset   0.0 meV/atom
Formation energy from the elements   -330 meV/atom

Structure (POSCAR):
```
SmThAl2
1.0
4.2111 0.0000 0.0000
0.0000 6.0786 0.0000
0.0000 0.0000 8.3760
Al Th Sm
4 2 2
Direct
0.0000 0.3727 0.0342
0.5000 0.8756 0.4654
0.0000 0.6273 0.5342
0.5000 0.1244 0.9654
0.0000 0.1343 0.6784
0.0000 0.8657 0.1784
0.5000 0.6337 0.8219
0.5000 0.3663 0.3219
```

[8]
Sm2ThAl9 | PBE-GGA | optimized geometry

Properties
SG   R-3m
Formation energy from the elements   -380 meV/atom

Structure (POSCAR):
```
Sm2ThAl9
1.0
5.6270 0.0000 0.0000
2.8135 4.8731 0.0000
2.8135 1.6244 8.8558
Al Sm Th
9 2 1
Direct
0.5000 0.5000 0.5000
0.4143 0.4143 0.2477
0.0762 0.5857 0.7523
0.5857 0.0762 0.7523
0.9238 0.4143 0.2477
0.5857 0.5857 0.7523
0.3348 0.3348 0.9955
0.4143 0.9238 0.2477
0.6652 0.6652 0.0045
0.8595 0.8595 0.4216
0.1405 0.1405 0.5784
0.0000 0.0000 0.0000
```

[9]
SmTh2Al6 | PBE-GGA | optimized geometry

Properties
SG   P6/mmm
Formation energy from the elements   -446 meV/atom

Structure (POSCAR):
```
SmTh2Al6
1.0
3.9272 0.0000 0.0000
0.0000 6.7533 -3.8990
0.0000 0.0000 7.7980
Al Sm Th
6 1 2
Direct
0.5000 0.6671 0.6671
0.5000 0.3329 0.0000
0.5000 0.3329 0.3329
0.5000 0.0000 0.3329
0.5000 0.0000 0.6671
0.5000 0.6671 0.0000
0.0000 0.0000 0.0000
0.0000 0.6667 0.3333
0.0000 0.3333 0.6667
```

[10]
SmThAl2 | PBE-GGA | optimized geometry

Properties
SG   R-3m
Energy above the most stable polymorph in this dataset   266.7 meV/atom
Formation energy from the elements   -63 meV/atom

Structure (POSCAR):
```
SmThAl2
1.0
-0.5232 3.3966 1.3661
0.2032 0.5777 3.6471
8.9684 3.0350 0.8945
Al Sm Th
2 1 1
Direct
0.7490 0.7490 0.7530
0.2510 0.2510 0.2470
0.0000 0.0000 0.0000
0.5000 0.5000 0.5000
```

[11]
SmThAl2 | PBE-GGA | optimized geometry

Properties
SG   P4/mmm
Energy above the most stable polymorph in this dataset   30.1 meV/atom
Formation energy from the elements   -299 meV/atom

Structure (POSCAR):
```
SmThAl2
1.0
-0.3700 0.8330 -3.3283
-1.6782 -2.9637 -0.5552
-7.3351 3.8216 1.7718
Th Al Sm
1 2 1
Direct
0.5000 0.5000 0.0000
0.0000 0.0000 0.7456
0.0000 0.0000 0.2544
0.5000 0.5000 0.5000
```

[12]
SmThAl2 | PBE-GGA | optimized geometry

Properties
SG   Fm-3m
Energy above the most stable polymorph in this dataset   70.9 meV/atom
Formation energy from the elements   -259 meV/atom

Structure (POSCAR):
```
SmThAl2
1.0
5.2427 0.0000 0.0000
2.6213 4.5403 0.0000
2.6213 1.5134 4.2806
Th Al Sm
1 2 1
Direct
0.0000 0.0000 0.0000
0.2500 0.2500 0.2500
0.7500 0.7500 0.7500
0.5000 0.5000 0.5000
```

Result set for magnetization: 0.0, 0.0, 0.0, 0.0, 0.0, 0.0, 0.0, 0.0, 0.0, 0.0, 0.0, 0.0 Bohr magnetons per cell, one per record in the order listed.